No. 1
VASP calculation (PBE) on an optimized crystal structure of NiPPt.

```
NiPPt
1.0
3.735 0.000 0.000
-1.867 3.234 0.000
0.000 0.000 3.390
Ni P Pt
1 1 1
direct
0.000 0.000 0.000
0.667 0.333 0.164
0.333 0.667 0.511
```

Symmetry = P3m1 (156)
Calculated volume = 13.65 A^3/atom
Formation energy = -0.27 eV/atom
Uncorrected energy = -0.442 Ry/atom

=====

No. 2
VASP calculation (PBE) on an optimized crystal structure of BeNiTe4.

```
BeNiTe4
1.0
0.000 4.412 4.412
4.412 0.000 4.412
4.412 4.412 0.000
Be Ni Te
1 1 4
direct
0.000 0.000 0.000
0.750 0.750 0.750
0.375 0.375 0.375
0.375 0.375 0.876
0.375 0.876 0.375
0.876 0.375 0.375
```

Symmetry = F-43m (216)
Raw formation energy = 1196 meV per atom
Calculated volume = 28.63 A^3/atom
Uncorrected energy = -0.182 Ry/atom

=====

No. 3
VASP calculation (PBE) on an optimized crystal structure of ZnSiPt.

```
ZnSiPt
1.0
4.105 0.000 0.000
-2.052 3.555 0.000
0.000 0.000 3.281
Zn Si Pt
1 1 1
direct
0.000 0.000 0.000
0.667 0.333 0.500
0.333 0.667 0.500
```

Symmetry = P-6m2 (187)
Raw formation energy = -230 meV per atom
Calculated volume = 15.96 A^3/atom
Uncorrected energy = -0.329 Ry/atom

=====

No. 4
VASP calculation (PBE) on an optimized crystal structure of KAl2Se.

```
KAl2Se
1.0
4.432 -1.892 0.000
4.432 1.892 0.000
-1.230 0.000 6.792
K Al Se
1 2 1
direct
0.000 0.000 0.000
0.347 0.347 0.543
0.650 0.650 0.622
0.748 0.748 0.291
```

Symmetry = Cm (8)
Raw formation energy = -315 meV per atom
Calculated volume = 28.48 A^3/atom
Uncorrected energy = -0.245 Ry/atom

=====

No. 5
VASP calculation (PBE) on an optimized crystal structure of BiAsI2Cl.

```
BiAsI2Cl
1.0
5.873 0.000 0.000
0.000 5.873 0.000
0.000 0.000 5.533
Bi As I Cl
1 1 2 1
direct
0.000 0.000 0.000
0.500 0.500 0.000
0.000 0.500 0.500
0.500 0.000 0.500
0.000 0.000 0.500
```

Symmetry = P4/mmm (123)
Raw formation energy = 817 meV per atom
Calculated volume = 38.17 A^3/atom
ΔE to the lowest computed polymorph = 0.5924 eV per atom
Uncorrected energy = -0.138 Ry/atom

=====

No. 6
VASP calculation (PBE) on an optimized crystal structure of Dy6Ir2C.

```
Dy6Ir2C
1.0
6.509 0.000 0.000
0.000 7.174 0.000
-6.266 0.000 9.297
Dy Ir C
12 4 2
direct
0.126 0.042 0.246
0.126 0.458 0.746
0.231 0.696 0.061
0.231 0.804 0.561
0.368 0.170 0.058
0.368 0.330 0.558
0.632 0.670 0.442
0.632 0.830 0.942
0.769 0.196 0.439
0.769 0.304 0.939
0.874 0.542 0.254
0.874 0.958 0.754
0.289 0.098 0.754
0.289 0.402 0.254
0.711 0.598 0.746
0.711 0.902 0.246
0.000 0.000 0.000
0.000 0.500 0.500
```

Symmetry = P2_1/c (14)
Calculated volume = 24.12 A^3/atom
Formation energy = -0.57 eV/atom
Uncorrected energy = -0.487 Ry/atom

=====

No. 7
VASP calculation (PBE) on an optimized crystal structure of Tb3PuPa2As6.

```
Tb3PuPa2As6
1.0
8.980 -2.063 0.000
8.980 2.063 0.000
-1.888 0.000 8.009
Tb Pu Pa As
3 1 2 6
direct
0.000 0.000 0.000
0.334 0.334 0.666
0.666 0.666 0.334
0.000 0.000 0.500
0.334 0.334 0.169
0.666 0.666 0.831
0.167 0.167 0.587
0.168 0.168 0.081
0.498 0.498 0.249
0.502 0.502 0.751
0.832 0.832 0.919
0.833 0.833 0.413
```

Symmetry = C2/m (12)
Calculated volume = 24.73 A^3/atom
Formation energy = -1.30 eV/atom
Uncorrected energy = -0.555 Ry/atom

=====

No. 8
VASP calculation (PBE) on an optimized crystal structure of PaZnCoIr.

```
PaZnCoIr
1.0
0.000 3.237 3.237
3.237 0.000 3.237
3.237 3.237 0.000
Pa Zn Co Ir
1 1 1 1
direct
0.000 0.000 0.000
0.500 0.500 0.500
0.750 0.750 0.750
0.250 0.250 0.250
```

Symmetry = F-43m (216)
Calculated volume = 16.96 A^3/atom
Formation energy = -0.34 eV/atom
Uncorrected energy = -0.516 Ry/atom